Crystalline EuHoAlGa at its relaxed geometry. Source: Alexandria, functional PBE.

a b c (Å): 5.1792 5.1792 5.1792
angles (deg): 60.00 60.00 60.00
Last column: nearest neighbours and their distance in Å.
Sites, in units of the cell vectors:
Ho 0.5000 0.5000 0.5000  4 Ga 3.17, 4 Al 3.17
Eu 0.0000 0.0000 0.0000  4 Ga 3.17, 4 Al 3.17
Al 0.7500 0.7500 0.7500  4 Eu 3.17, 4 Ho 3.17
Ga 0.2500 0.2500 0.2500  4 Ho 3.17, 4 Eu 3.17

Results
total magnetic moment = 1.744 μB per atom
DFT formation energy = -0.377 eV/atom
space-group type = F-43m